The following is a GGA-PBE calculation of crystalline BaHgOs2 at its relaxed geometry, from the Alexandria database.

Structure (CIF):
```
data_BaHgOs2
_chemical_formula_sum 'Ba1 Hg1 Os2'
_cell_length_a 4.293
_cell_length_b 4.944
_cell_length_c 5.328
_cell_angle_alpha 90.00
_cell_angle_beta 96.48
_cell_angle_gamma 90.00
_symmetry_space_group_name_H-M 'P 1 2/m 1'
_symmetry_Int_Tables_number 10
loop_
_symmetry_equiv_pos_as_xyz
'x,y,z'
'-x,-y,-z'
'-x,y,-z'
'x,-y,z'
loop_
_atom_site_label
_atom_site_type_symbol
_atom_site_fract_x
_atom_site_fract_y
_atom_site_fract_z
_atom_site_occupancy
Ba1 Ba 0.000 0.000 0.000 1
Hg1 Hg 0.500 0.000 0.500 1
Os1 Os 0.257 0.500 0.599 1
```

crystal system	monoclinic
total energy	-21.61	eV for the cell shown


The following is a GGA-PBE calculation of crystalline ZnCd at its relaxed geometry, from the Alexandria database.

Structure (CIF):
```
data_ZnCd
_chemical_formula_sum 'Zn2 Cd2'
_cell_length_a 2.9594
_cell_length_b 2.9594
_cell_length_c 10.7923
_cell_angle_alpha 90.00
_cell_angle_beta 90.00
_cell_angle_gamma 120.00
_symmetry_space_group_name_H-M 'P 63 m c'
_symmetry_Int_Tables_number 186
_symmetry_space_group_name_Hall 'P 6c -2c'
loop_
_atom_site_label
_atom_site_type_symbol
_atom_site_fract_x
_atom_site_fract_y
_atom_site_fract_z
_atom_site_occupancy
Zn1 Zn 0.3333 0.6667 0.0000 1
Cd1 Cd 0.3333 0.6667 0.7340 1
```

crystal system	hexagonal
total energy	-3.79	eV for the cell shown


The following is a GGA-PBE calculation of crystalline CdSb2H8 at its relaxed geometry, from the Alexandria database.

Structure (CIF):
```
data_CdSb2H8
_chemical_formula_sum 'Cd1 Sb2 H8'
_cell_length_a 4.294
_cell_length_b 6.520
_cell_length_c 7.873
_cell_angle_alpha 92.59
_cell_angle_beta 91.06
_cell_angle_gamma 95.07
_symmetry_space_group_name_H-M 'P -1'
_symmetry_Int_Tables_number 2
loop_
_symmetry_equiv_pos_as_xyz
'x,y,z'
'-x,-y,-z'
loop_
_atom_site_label
_atom_site_type_symbol
_atom_site_fract_x
_atom_site_fract_y
_atom_site_fract_z
_atom_site_occupancy
Cd1 Cd 0.000 0.000 0.000 1
Sb1 Sb 0.449 0.444 0.754 1
H1 H 0.198 0.528 0.909 1
H2 H 0.203 0.523 0.595 1
H3 H 0.343 0.313 0.231 1
H4 H 0.485 0.970 0.458 1
```

crystal system	triclinic
total energy	-33.32	eV for the cell shown


V in Å³/atom, matching the order above: 28.09, 20.46, 19.93